Density functional theory data (PBE) for an optimized crystal structure of VCrSbW2.

Cell: 4.546 4.546 4.645 Å, 90.00 90.00 90.00°
Positions (direct):
1 V 0.000 0.000 0.000
2 Cr 0.500 0.500 0.500
3 Sb 0.500 0.500 0.000
4 W 0.000 0.500 0.500
5 W 0.500 0.000 0.500

Calculated values
Its density of states at the Fermi level is 1.182 states/eV/atom. The energy comes out at -8.161 eV/atom.

---

Density functional theory data (PBE) for an optimized crystal structure of Rb12Sr3H5.

Cell: 18.098 18.098 18.098 Å, 109.47 109.47 109.47°
Positions (direct):
1 Rb 0.014 0.693 0.107
2 Rb 0.014 0.821 0.907
3 Rb 0.086 0.679 0.693
4 Rb 0.086 0.907 0.393
5 Rb 0.093 0.607 0.914
6 Rb 0.093 0.986 0.179
7 Rb 0.107 0.014 0.693
8 Rb 0.107 0.593 0.414
9 Rb 0.179 0.093 0.986
10 Rb 0.179 0.586 0.193
11 Rb 0.193 0.179 0.586
12 Rb 0.193 0.514 0.607
13 Rb 0.307 0.893 0.986
14 Rb 0.307 0.914 0.321
15 Rb 0.321 0.307 0.914
16 Rb 0.321 0.514 0.407
17 Rb 0.393 0.086 0.907
18 Rb 0.393 0.807 0.486
19 Rb 0.407 0.321 0.514
20 Rb 0.407 0.586 0.893
21 Rb 0.414 0.107 0.593
22 Rb 0.414 0.807 0.821
23 Rb 0.486 0.393 0.807
24 Rb 0.486 0.593 0.679
25 Rb 0.514 0.407 0.321
26 Rb 0.514 0.607 0.193
27 Rb 0.586 0.193 0.179
28 Rb 0.586 0.893 0.407
29 Rb 0.593 0.414 0.107
30 Rb 0.593 0.679 0.486
31 Rb 0.607 0.193 0.514
32 Rb 0.607 0.914 0.093
33 Rb 0.679 0.486 0.593
34 Rb 0.679 0.693 0.086
35 Rb 0.693 0.086 0.679
36 Rb 0.693 0.107 0.014
37 Rb 0.807 0.486 0.393
38 Rb 0.807 0.821 0.414
39 Rb 0.821 0.414 0.807
40 Rb 0.821 0.907 0.014
41 Rb 0.893 0.407 0.586
42 Rb 0.893 0.986 0.307
43 Rb 0.907 0.014 0.821
44 Rb 0.907 0.393 0.086
45 Rb 0.914 0.093 0.607
46 Rb 0.914 0.321 0.307
47 Rb 0.986 0.179 0.093
48 Rb 0.986 0.307 0.893
49 Sr 0.125 0.250 0.375
50 Sr 0.125 0.375 0.750
51 Sr 0.250 0.375 0.125
52 Sr 0.250 0.875 0.625
53 Sr 0.375 0.125 0.250
54 Sr 0.375 0.750 0.125
55 Sr 0.625 0.250 0.875
56 Sr 0.625 0.875 0.750
57 Sr 0.750 0.125 0.375
58 Sr 0.750 0.625 0.875
59 Sr 0.875 0.625 0.250
60 Sr 0.875 0.750 0.625
61 H 0.000 0.000 0.000
62 H 0.000 0.000 0.500
63 H 0.000 0.500 0.000
64 H 0.000 0.500 0.500
65 H 0.125 0.750 0.875
66 H 0.125 0.875 0.250
67 H 0.250 0.125 0.875
68 H 0.250 0.625 0.375
69 H 0.375 0.250 0.625
70 H 0.375 0.625 0.750
71 H 0.500 0.000 0.000
72 H 0.500 0.000 0.500
73 H 0.500 0.500 0.000
74 H 0.500 0.500 0.500
75 H 0.625 0.375 0.250
76 H 0.625 0.750 0.375
77 H 0.750 0.375 0.625
78 H 0.750 0.875 0.125
79 H 0.875 0.125 0.750
80 H 0.875 0.250 0.125

Calculated values
Its density of states at the Fermi level is 0.882 states/eV/atom. The energy comes out at -1.506 eV/atom.

---

Density functional theory data (PBE) for an optimized crystal structure of CuC3.

Cell: 2.545 3.038 7.743 Å, 90.00 90.00 90.00°
Positions (direct):
1 Cu 0.000 0.000 0.000
2 C 0.000 0.500 0.500
3 C 0.500 0.500 0.000
4 C 0.500 0.500 0.500

Calculated values
The formation energy comes out at 1.440 eV/atom. Its density of states at the Fermi level is 0.668 states/eV/atom. As for the excess energy over the best structure of this formula in the dataset: 839.7 meV/atom.

---

Density functional theory data (PBE) for an optimized crystal structure of NdBeCu.

Cell: 4.128 4.128 3.881 Å, 90.00 90.00 120.00°
Positions (direct):
1 Nd 0.000 0.000 0.000
2 Be 0.333 0.667 0.500
3 Cu 0.667 0.333 0.500

Calculated values
The formation energy comes out at -0.023 eV/atom. Its density of states at the Fermi level is 0.885 states/eV/atom. As for the excess energy over the best structure of this formula in the dataset: 0.0 meV/atom.

---

Density functional theory data (PBE) for an optimized crystal structure of AlCr2Se.

Cell: 3.040 3.040 6.406 Å, 90.00 90.00 90.00°
Positions (direct):
1 Al 0.000 0.000 0.000
2 Cr 0.000 0.000 0.451
3 Cr 0.500 0.500 0.218
4 Se 0.500 0.500 0.636

Calculated values
Its density of states at the Fermi level is 0.397 states/eV/atom. As for the excess energy over the best structure of this formula in the dataset: 0.0 meV/atom.

---

Density functional theory data (PBE) for an optimized crystal structure of ScTaTl.

Cell: 7.347 7.347 7.347 Å, 156.27 156.27 33.81°
Positions (direct):
1 Sc 0.000 0.000 0.000
2 Ta 0.345 0.345 0.000
3 Tl 0.676 0.676 0.000

Calculated values
The formation energy comes out at 0.136 eV/atom. Its density of states at the Fermi level is 1.062 states/eV/atom. As for the excess energy over the best structure of this formula in the dataset: 0.0 meV/atom.